Entry 1:
Cs2VPd PBE-GGA relaxed; magnetic moment = 4.9 μB per cell; D(E_F) = 1.320 states/eV/atom; crystal system = cubic; space group = Fm-3m, No. 225; formation enthalpy at 0 K = 1.143 eV/atom; E above lowest polymorph = 491 meV/atom
1.0
0.000 4.009 4.009
4.009 0.000 4.009
4.009 4.009 0.000
Cs V Pd
2 1 1
Cartesian
2.004 2.004 2.004
6.013 6.013 6.013
0.000 0.000 0.000
4.009 4.009 4.009



Entry 2:
CsVPd2 PBE-GGA relaxed; magnetic moment = 3.2 μB per cell; D(E_F) = 1.670 states/eV/atom; crystal system = cubic; space group = Fm-3m, No. 225; formation enthalpy at 0 K = 0.899 eV/atom
1.0
0.000 3.534 3.534
3.534 0.000 3.534
3.534 3.534 0.000
Cs V Pd
1 1 2
Cartesian
0.000 0.000 0.000
3.534 3.534 3.534
1.767 1.767 1.767
5.302 5.302 5.302



Entry 3:
CsV3Pd PBE-GGA relaxed; magnetic moment = 3.8 μB per cell; D(E_F) = 1.199 states/eV/atom; crystal system = cubic; space group = Pm-3m, No. 221; formation enthalpy at 0 K = 2.557 eV/atom; E above lowest polymorph = 1228 meV/atom
1.0
4.755 0.000 0.000
0.000 4.755 0.000
0.000 0.000 4.755
Cs V Pd
1 3 1
Cartesian
0.000 0.000 0.000
0.000 0.000 2.377
0.000 2.377 0.000
2.377 0.000 0.000
2.377 2.377 2.377



Entry 4:
CsV2Pd PBE-GGA relaxed; magnetic moment = 0.0 μB per cell; D(E_F) = 1.294 states/eV/atom; crystal system = tetragonal; space group = I-42d, No. 122; formation enthalpy at 0 K = 1.355 eV/atom; E above lowest polymorph = 0 meV/atom
1.0
-2.188 2.188 10.026
2.188 -2.188 10.026
2.188 2.188 -10.026
Cs V Pd
2 4 2
Cartesian
0.000 0.000 0.000
0.000 2.188 5.013
1.094 -0.339 7.520
1.849 1.094 2.507
1.094 2.526 -2.507
0.339 1.094 12.533
2.188 0.000 5.013
0.000 0.000 10.026



Entry 5:
CsV3Pd PBE-GGA relaxed; magnetic moment = 8.5 μB per cell; D(E_F) = 1.276 states/eV/atom; crystal system = cubic; space group = Pm-3m, No. 221; formation enthalpy at 0 K = 1.329 eV/atom; E above lowest polymorph = 0 meV/atom
1.0
5.057 0.000 0.000
0.000 5.057 0.000
0.000 0.000 5.057
Cs V Pd
1 3 1
Cartesian
0.000 0.000 0.000
0.000 2.529 2.529
2.529 0.000 2.529
2.529 2.529 0.000
2.529 2.529 2.529



Entry 6:
Cs2VPd PBE-GGA relaxed; magnetic moment = 8.6 μB per cell; D(E_F) = 1.749 states/eV/atom; crystal system = tetragonal; space group = I-42d, No. 122; formation enthalpy at 0 K = 0.652 eV/atom; E above lowest polymorph = 0 meV/atom
1.0
-6.659 6.659 2.469
6.659 -6.659 2.469
6.659 6.659 -2.469
Cs V Pd
4 2 2
Cartesian
0.996 3.329 0.617
-3.329 5.662 1.852
-0.996 9.988 0.617
3.329 7.655 1.852
6.659 0.000 1.235
0.000 0.000 2.469
0.000 0.000 0.000
0.000 6.659 1.235



Entry 7:
CsV2Pd PBE-GGA relaxed; magnetic moment = 0.5 μB per cell; D(E_F) = 1.534 states/eV/atom; crystal system = cubic; space group = Fm-3m, No. 225; formation enthalpy at 0 K = 1.404 eV/atom; E above lowest polymorph = 49 meV/atom
1.0
0.000 3.289 3.289
3.289 0.000 3.289
3.289 3.289 0.000
Cs V Pd
1 2 1
Cartesian
0.000 0.000 0.000
1.645 1.645 1.645
4.934 4.934 4.934
3.289 3.289 3.289



Entry 8:
CsPdW3 PBE-GGA relaxed; magnetic moment = 0.0 μB per cell; D(E_F) = 0.584 states/eV/atom; crystal system = cubic; space group = Pm-3m, No. 221; formation enthalpy at 0 K = 3.880 eV/atom; E above lowest polymorph = 1204 meV/atom
1.0
4.860 0.000 0.000
0.000 4.860 0.000
0.000 0.000 4.860
Cs Pd W
1 1 3
Cartesian
0.000 0.000 0.000
2.430 2.430 2.430
0.000 0.000 2.430
0.000 2.430 0.000
2.430 0.000 0.000



Entry 9:
CsPd3W PBE-GGA relaxed; magnetic moment = 5.0 μB per cell; D(E_F) = 0.682 states/eV/atom; crystal system = cubic; space group = Pm-3m, No. 221; formation enthalpy at 0 K = 2.355 eV/atom; E above lowest polymorph = 1492 meV/atom
1.0
5.176 0.000 0.000
0.000 5.176 0.000
0.000 0.000 5.176
Cs Pd W
1 3 1
Cartesian
0.000 0.000 0.000
0.000 0.000 2.588
0.000 2.588 0.000
2.588 0.000 0.000
2.588 2.588 2.588



Entry 10:
CsPd3W PBE-GGA relaxed; magnetic moment = 0.0 μB per cell; D(E_F) = 1.237 states/eV/atom; crystal system = cubic; space group = Pm-3m, No. 221; formation enthalpy at 0 K = 0.863 eV/atom; E above lowest polymorph = 0 meV/atom
1.0
5.037 0.000 0.000
0.000 5.037 0.000
0.000 0.000 5.037
Cs Pd W
1 3 1
Cartesian
0.000 0.000 0.000
0.000 2.518 2.518
2.518 0.000 2.518
2.518 2.518 0.000
2.518 2.518 2.518



Entry 11:
CsPdW3 PBE-GGA relaxed; magnetic moment = 4.7 μB per cell; D(E_F) = 0.978 states/eV/atom; crystal system = cubic; space group = Pm-3m, No. 221; formation enthalpy at 0 K = 2.675 eV/atom; E above lowest polymorph = 0 meV/atom
1.0
5.000 0.000 0.000
0.000 5.000 0.000
0.000 0.000 5.000
Cs Pd W
1 1 3
Cartesian
0.000 0.000 0.000
2.500 2.500 2.500
0.000 2.500 2.500
2.500 0.000 2.500
2.500 2.500 0.000



Entry 12:
CsYPd3 PBE-GGA relaxed; magnetic moment = 0.0 μB per cell; D(E_F) = 0.298 states/eV/atom; crystal system = cubic; space group = Pm-3m, No. 221; formation enthalpy at 0 K = 1.038 eV/atom; E above lowest polymorph = 789 meV/atom
1.0
5.254 0.000 0.000
0.000 5.254 0.000
0.000 0.000 5.254
Cs Y Pd
1 1 3
Cartesian
0.000 0.000 0.000
2.627 2.627 2.627
0.000 0.000 2.627
0.000 2.627 0.000
2.627 0.000 0.000



Entry 13:
Cs2YPd PBE-GGA relaxed; magnetic moment = 0.0 μB per cell; D(E_F) = 1.215 states/eV/atom; crystal system = tetragonal; space group = I-42d, No. 122; formation enthalpy at 0 K = 0.319 eV/atom; E above lowest polymorph = 0 meV/atom
1.0
-6.894 6.894 2.656
6.894 -6.894 2.656
6.894 6.894 -2.656
Cs Y Pd
4 2 2
Cartesian
-1.262 3.447 0.664
3.447 5.631 1.992
1.262 10.340 0.664
-3.447 8.156 1.992
6.894 0.000 1.328
0.000 0.000 2.656
0.000 0.000 0.000
0.000 6.894 1.328



Entry 14:
CsY2Pd PBE-GGA relaxed; magnetic moment = 0.0 μB per cell; D(E_F) = 0.830 states/eV/atom; crystal system = tetragonal; space group = I4_1/amd, No. 141; formation enthalpy at 0 K = 0.359 eV/atom; E above lowest polymorph = 62 meV/atom
1.0
-4.143 4.143 6.654
4.143 -4.143 6.654
4.143 4.143 -6.654
Cs Y Pd
2 4 2
Cartesian
4.143 2.072 1.663
0.000 2.072 4.990
0.000 0.000 0.000
2.072 2.072 -3.327
2.072 -2.072 3.327
0.000 4.143 0.000
4.143 -2.072 4.990
0.000 6.215 1.663



Entry 15:
Cs2YPd PBE-GGA relaxed; magnetic moment = 1.1 μB per cell; D(E_F) = 2.107 states/eV/atom; crystal system = cubic; space group = Fm-3m, No. 225; formation enthalpy at 0 K = 0.872 eV/atom; E above lowest polymorph = 553 meV/atom
1.0
0.000 4.394 4.394
4.394 0.000 4.394
4.394 4.394 0.000
Cs Y Pd
2 1 1
Cartesian
2.197 2.197 2.197
6.591 6.591 6.591
0.000 0.000 0.000
4.394 4.394 4.394



Entry 16:
CsY2Pd2 PBE-GGA relaxed; magnetic moment = 0.0 μB per cell; D(E_F) = 0.745 states/eV/atom; crystal system = tetragonal; space group = I4/mmm, No. 139; formation enthalpy at 0 K = -0.293 eV/atom
1.0
-2.478 2.478 6.232
2.478 -2.478 6.232
2.478 2.478 -6.232
Cs Y Pd
1 2 2
Cartesian
0.000 0.000 0.000
2.478 0.000 3.116
0.000 2.478 3.116
0.000 0.000 4.670
0.000 0.000 7.793



Entry 17:
CsYPd3 PBE-GGA relaxed; magnetic moment = 0.0 μB per cell; D(E_F) = 0.728 states/eV/atom; crystal system = cubic; space group = Pm-3m, No. 221; formation enthalpy at 0 K = 0.249 eV/atom; E above lowest polymorph = 0 meV/atom
1.0
5.363 0.000 0.000
0.000 5.363 0.000
0.000 0.000 5.363
Cs Y Pd
1 1 3
Cartesian
0.000 0.000 0.000
2.681 2.681 2.681
0.000 2.681 2.681
2.681 0.000 2.681
2.681 2.681 0.000



Entry 18:
CsY2Pd PBE-GGA relaxed; magnetic moment = 0.0 μB per cell; D(E_F) = 1.364 states/eV/atom; crystal system = cubic; space group = Fm-3m, No. 225; formation enthalpy at 0 K = 0.297 eV/atom; E above lowest polymorph = 0 meV/atom
1.0
0.000 3.810 3.810
3.810 0.000 3.810
3.810 3.810 0.000
Cs Y Pd
1 2 1
Cartesian
0.000 0.000 0.000
1.905 1.905 1.905
5.715 5.715 5.715
3.810 3.810 3.810



Entry 19:
Cs3YPd PBE-GGA relaxed; magnetic moment = 2.4 μB per cell; D(E_F) = 1.750 states/eV/atom; crystal system = cubic; space group = Pm-3m, No. 221; formation enthalpy at 0 K = 1.167 eV/atom
1.0
6.935 0.000 0.000
0.000 6.935 0.000
0.000 0.000 6.935
Cs Y Pd
3 1 1
Cartesian
0.000 0.000 3.467
0.000 3.467 0.000
3.467 0.000 0.000
0.000 0.000 0.000
3.467 3.467 3.467



Entry 20:
CsYZnPd2 PBE-GGA relaxed; magnetic moment = 0.0 μB per cell; D(E_F) = 0.787 states/eV/atom; crystal system = tetragonal; space group = P4/mmm, No. 123; formation enthalpy at 0 K = 0.290 eV/atom
1.0
5.031 0.000 0.000
0.000 5.031 0.000
0.000 0.000 5.222
Cs Y Zn Pd
1 1 1 2
Cartesian
0.000 0.000 0.000
2.516 2.516 0.000
2.516 2.516 2.611
0.000 2.516 2.611
2.516 0.000 2.611



Entry 21:
CsZnPd3 PBE-GGA relaxed; magnetic moment = 0.0 μB per cell; D(E_F) = 0.336 states/eV/atom; crystal system = cubic; space group = Pm-3m, No. 221; formation enthalpy at 0 K = 0.193 eV/atom; E above lowest polymorph = 0 meV/atom
1.0
4.890 0.000 0.000
0.000 4.890 0.000
0.000 0.000 4.890
Cs Zn Pd
1 1 3
Cartesian
0.000 0.000 0.000
2.445 2.445 2.445
0.000 2.445 2.445
2.445 0.000 2.445
2.445 2.445 0.000



Entry 22:
CsZnPd PBE-GGA relaxed; magnetic moment = 0.0 μB per cell; D(E_F) = 0.442 states/eV/atom; crystal system = orthorhombic; space group = Cmcm, No. 63; formation enthalpy at 0 K = -0.112 eV/atom
1.0
1.810 -13.090 0.000
1.810 13.090 0.000
0.000 0.000 3.895
Cs Zn Pd
2 2 2
Cartesian
1.810 9.041 2.921
1.810 -9.041 0.974
1.810 0.924 0.974
1.810 -0.924 2.921
1.810 11.957 0.974
1.810 -11.957 2.921



Entry 23:
CsZn2Pd2 PBE-GGA relaxed; magnetic moment = 0.0 μB per cell; D(E_F) = 0.264 states/eV/atom; crystal system = tetragonal; space group = P4/mbm, No. 127; formation enthalpy at 0 K = -0.052 eV/atom; E above lowest polymorph = 89 meV/atom
1.0
8.120 0.000 0.000
0.000 8.120 0.000
0.000 0.000 3.076
Cs Zn Pd
2 4 4
Cartesian
0.000 0.000 0.000
4.060 4.060 0.000
1.125 2.935 1.538
2.935 6.995 1.538
5.185 1.125 1.538
6.995 5.185 1.538
1.121 5.182 0.000
2.939 1.121 0.000
5.182 6.999 0.000
6.999 2.939 0.000



Entry 24:
CsZn2Pd2 PBE-GGA relaxed; magnetic moment = 0.0 μB per cell; D(E_F) = 0.766 states/eV/atom; crystal system = tetragonal; space group = I4/mmm, No. 139; formation enthalpy at 0 K = -0.142 eV/atom; E above lowest polymorph = 0 meV/atom
1.0
-2.262 2.262 6.560
2.262 -2.262 6.560
2.262 2.262 -6.560
Cs Zn Pd
1 2 2
Cartesian
0.000 0.000 0.000
0.000 0.000 4.365
0.000 0.000 8.754
2.262 0.000 3.280
0.000 2.262 3.280



Entry 25:
Cs2Zn2Pd PBE-GGA relaxed; magnetic moment = 0.0 μB per cell; D(E_F) = 0.579 states/eV/atom; crystal system = tetragonal; space group = P4/mbm, No. 127; formation enthalpy at 0 K = 0.131 eV/atom
1.0
7.280 0.000 0.000
0.000 7.280 0.000
0.000 0.000 5.909
Cs Zn Pd
4 4 2
Cartesian
1.297 2.343 0.000
2.343 5.983 0.000
4.937 1.297 0.000
5.983 4.937 0.000
1.175 4.815 2.955
2.465 1.175 2.955
4.815 6.105 2.955
6.105 2.465 2.955
0.000 0.000 2.955
3.640 3.640 2.955



Entry 26:
CsZnPd3 PBE-GGA relaxed; magnetic moment = 0.0 μB per cell; D(E_F) = 0.464 states/eV/atom; crystal system = cubic; space group = Pm-3m, No. 221; formation enthalpy at 0 K = 1.351 eV/atom; E above lowest polymorph = 1159 meV/atom
1.0
5.322 0.000 0.000
0.000 5.322 0.000
0.000 0.000 5.322
Cs Zn Pd
1 1 3
Cartesian
0.000 0.000 0.000
2.661 2.661 2.661
0.000 0.000 2.661
0.000 2.661 0.000
2.661 0.000 0.000



Entry 27:
Cs3ZnPd PBE-GGA relaxed; magnetic moment = 0.9 μB per cell; D(E_F) = 0.946 states/eV/atom; crystal system = cubic; space group = Pm-3m, No. 221; formation enthalpy at 0 K = 0.214 eV/atom; E above lowest polymorph = 0 meV/atom
1.0
6.765 0.000 0.000
0.000 6.765 0.000
0.000 0.000 6.765
Cs Zn Pd
3 1 1
Cartesian
0.000 0.000 3.382
0.000 3.382 0.000
3.382 0.000 0.000
3.382 3.382 3.382
0.000 0.000 0.000



Entry 28:
Cs2ZnPd2 PBE-GGA relaxed; magnetic moment = 0.0 μB per cell; D(E_F) = 0.158 states/eV/atom; crystal system = tetragonal; space group = P4/mbm, No. 127; formation enthalpy at 0 K = 0.085 eV/atom
1.0
6.998 0.000 0.000
0.000 6.998 0.000
0.000 0.000 5.766
Cs Zn Pd
4 2 4
Cartesian
1.284 2.215 0.000
2.215 5.714 0.000
4.783 1.284 0.000
5.714 4.783 0.000
0.000 0.000 2.883
3.499 3.499 2.883
0.985 4.484 2.883
2.514 0.985 2.883
4.484 6.012 2.883
6.012 2.514 2.883